## Er6Te5C (PBE)

Data for a geometry-optimized Er6Te5C structure.

Properties
The calculation puts the total energy at -5.510 eV/atom. Its space group is C2/m (12).

Lattice parameters (Å, degrees): 7.335 7.335 7.216 99.62 99.62 119.58
Element x y z (fractional)
1 Er 0.068 0.346 0.709
2 Er 0.201 0.201 0.276
3 Er 0.346 0.068 0.709
4 Er 0.654 0.932 0.291
5 Er 0.799 0.799 0.724
6 Er 0.932 0.654 0.291
7 Te 0.181 0.819 0.000
8 Te 0.336 0.664 0.500
9 Te 0.500 0.500 0.000
10 Te 0.664 0.336 0.500
11 Te 0.819 0.181 0.000
12 C 0.000 0.000 0.500



## CsPrPbSe3 (PBE)

Data for a geometry-optimized CsPrPbSe3 structure.

Properties
The calculation puts the total energy at -4.589 eV/atom. Its space group is Pnma (62).

Lattice parameters (Å, degrees): 16.740 4.380 12.658 90.00 90.00 90.00
Element x y z (fractional)
1 Cs 0.235 0.250 0.087
2 Cs 0.265 0.750 0.587
3 Cs 0.735 0.250 0.413
4 Cs 0.765 0.750 0.913
5 Pr 0.001 0.750 0.647
6 Pr 0.499 0.250 0.147
7 Pr 0.501 0.750 0.853
8 Pr 0.999 0.250 0.353
9 Pb 0.042 0.250 0.907
10 Pb 0.458 0.750 0.407
11 Pb 0.542 0.250 0.593
12 Pb 0.958 0.750 0.093
13 Se 0.086 0.750 0.232
14 Se 0.096 0.250 0.547
15 Se 0.130 0.750 0.821
16 Se 0.370 0.250 0.321
17 Se 0.404 0.750 0.047
18 Se 0.414 0.250 0.732
19 Se 0.586 0.750 0.268
20 Se 0.596 0.250 0.953
21 Se 0.630 0.750 0.679
22 Se 0.870 0.250 0.179
23 Se 0.904 0.750 0.453
24 Se 0.914 0.250 0.768



## LuPaGe (PBE)

Data for a geometry-optimized LuPaGe structure.

Properties
The calculation puts the total energy at -5.593 eV/atom. Its space group is F-43m (216).

Lattice parameters (Å, degrees): 6.751 6.751 6.751 90.00 90.00 90.00
Element x y z (fractional)
1 Lu 0.000 0.000 0.000
2 Lu 0.000 0.500 0.500
3 Lu 0.500 0.000 0.500
4 Lu 0.500 0.500 0.000
5 Pa 0.250 0.250 0.250
6 Pa 0.250 0.750 0.750
7 Pa 0.750 0.250 0.750
8 Pa 0.750 0.750 0.250
9 Ge 0.250 0.250 0.750
10 Ge 0.250 0.750 0.250
11 Ge 0.750 0.250 0.250
12 Ge 0.750 0.750 0.750



## LaDyIn2Ni4 (PBE)

Data for a geometry-optimized LaDyIn2Ni4 structure.

Properties
The calculation puts the total energy at -5.103 eV/atom. Its space group is Pmm2 (25).

Lattice parameters (Å, degrees): 4.057 5.209 7.109 90.00 90.00 90.00
Element x y z (fractional)
1 La 0.000 0.000 0.000
2 Dy 0.000 0.500 0.467
3 In 0.500 0.000 0.388
4 In 0.500 0.500 0.089
5 Ni 0.000 0.000 0.621
6 Ni 0.000 0.500 0.844
7 Ni 0.500 0.258 0.725
8 Ni 0.500 0.742 0.725



## ZrPaCu (PBE)

Data for a geometry-optimized ZrPaCu structure.

Properties
The calculation puts the total energy at -6.285 eV/atom. Its space group is F-43m (216). For the formation energy, the calculation gives 0.968 eV per atom.

Lattice parameters (Å, degrees): 6.500 6.500 6.500 90.00 90.00 90.00
Element x y z (fractional)
1 Zr 0.000 0.000 0.000
2 Zr 0.000 0.500 0.500
3 Zr 0.500 0.000 0.500
4 Zr 0.500 0.500 0.000
5 Pa 0.250 0.250 0.750
6 Pa 0.250 0.750 0.250
7 Pa 0.750 0.250 0.250
8 Pa 0.750 0.750 0.750
9 Cu 0.000 0.000 0.500
10 Cu 0.000 0.500 0.000
11 Cu 0.500 0.000 0.000
12 Cu 0.500 0.500 0.500



## TlCoOsPd (PBE)

Data for a geometry-optimized TlCoOsPd structure.

Properties
The calculation puts the total energy at -5.805 eV/atom. Its space group is F-43m (216).

Lattice parameters (Å, degrees): 6.347 6.347 6.347 90.00 90.00 90.00
Element x y z (fractional)
1 Tl 0.000 0.000 0.000
2 Tl 0.000 0.500 0.500
3 Tl 0.500 0.000 0.500
4 Tl 0.500 0.500 0.000
5 Co 0.250 0.250 0.250
6 Co 0.250 0.750 0.750
7 Co 0.750 0.250 0.750
8 Co 0.750 0.750 0.250
9 Os 0.000 0.000 0.500
10 Os 0.000 0.500 0.000
11 Os 0.500 0.000 0.000
12 Os 0.500 0.500 0.500
13 Pd 0.250 0.250 0.750
14 Pd 0.250 0.750 0.250
15 Pd 0.750 0.250 0.250
16 Pd 0.750 0.750 0.750